Entry 1:
This record from Alexandria via LeMat-Bulk describes a geometry-optimized La4Tb2NdMg structure. The functional is GGA-PBE.

Summary:
space group = Pmmm
energy = -4.3726 eV per atom
formation energy = 44 meV/atom

Unit cell a=5.898 b=5.903 c=9.838 alpha=53.13 beta=90.00 gamma=90.01
Element x y z (fractional)
La: 0.500 0.766 0.234
La: 0.000 0.268 0.232
Mg: 0.500 0.500 0.000
Tb: 0.000 0.000 0.000
La: 0.500 0.234 0.766
Tb: 0.500 0.000 0.500
Nd: 0.000 0.500 0.500
La: 0.000 0.732 0.768

=====

Entry 2:
This record from Alexandria via LeMat-Bulk describes a geometry-optimized YZrRe2 structure. The functional is GGA-PBE.

Summary:
space group = C2/m
energy = -9.5325 eV per atom
formation energy = 445 meV/atom
energy above the lowest structure with this stoichiometry = 0.440 eV/atom

Unit cell a=4.669 b=4.669 c=5.888 alpha=81.76 beta=81.76 gamma=39.51
Element x y z (fractional)
Zr: 0.250 0.250 0.250
Re: 0.994 0.994 0.047
Re: 0.506 0.506 0.453
Y: 0.750 0.750 0.750

=====

Entry 3:
This record from Alexandria via LeMat-Bulk describes a geometry-optimized PuBe2Ir structure. The functional is GGA-PBE.

Summary:
space group = P4/mmm
energy = -7.9658 eV per atom
formation energy = -305 meV/atom
energy above the lowest structure with this stoichiometry = 0.000 eV/atom

Unit cell a=2.878 b=2.878 c=6.717 alpha=90.00 beta=90.00 gamma=90.00
Last column: magnetic moment on the atom in μB.
Element x y z (fractional)
Be: 0.000 0.000 0.825  -0.03
Pu: 0.500 0.500 0.500  5.10
Be: 0.000 0.000 0.175  -0.03
Ir: 0.500 0.500 0.000  0.03

=====

Entry 4:
This record from Alexandria via LeMat-Bulk describes a geometry-optimized Pm6Ge2Te3I structure. The functional is GGA-PBE.

Summary:
space group = C2/m
energy = -5.2853 eV per atom
raw formation energy = -1.226 eV per atom

Unit cell a=4.371 b=8.947 c=9.894 alpha=102.52 beta=102.76 gamma=90.00
Element x y z (fractional)
Pm: 0.983 0.726 0.967
I: 0.500 0.000 0.000
Te: 0.158 0.837 0.315
Te: 0.842 0.163 0.685
Pm: 0.327 0.430 0.654
Pm: 0.017 0.274 0.033
Pm: 0.677 0.119 0.353
Ge: 0.170 0.336 0.339
Pm: 0.323 0.881 0.647
Ge: 0.830 0.664 0.661
Te: 0.500 0.500 0.000
Pm: 0.673 0.570 0.346

=====

Entry 5:
This record from Alexandria via LeMat-Bulk describes a geometry-optimized Ba4BiAsCl2 structure. The functional is GGA-PBE.

Summary:
space group = P2/m
energy = -4.0762 eV per atom
raw formation energy = -1.587 eV per atom

Unit cell a=4.895 b=8.216 c=8.533 alpha=69.62 beta=90.00 gamma=90.00
Element x y z (fractional)
Ba: 0.500 0.733 0.266
Bi: 0.500 0.500 0.000
Ba: 0.000 0.737 0.740
As: 0.000 0.500 0.500
Cl: 0.500 0.000 0.500
Ba: 0.500 0.267 0.734
Cl: 0.000 0.000 0.000
Ba: 0.000 0.263 0.260

=====

Entry 6:
This record from Alexandria via LeMat-Bulk describes a geometry-optimized NdYHoHg structure. The functional is GGA-PBE.

Summary:
space group = F-43m
energy = -4.0929 eV per atom
formation energy = -65 meV/atom
energy above the lowest structure with this stoichiometry = 0.174 eV/atom

Unit cell a=5.467 b=5.467 c=5.467 alpha=60.00 beta=60.00 gamma=60.00
Element x y z (fractional)
Ho: 0.750 0.750 0.750
Y: 0.000 0.000 0.000
Nd: 0.500 0.500 0.500
Hg: 0.250 0.250 0.250

=====

Entry 7:
This record from Alexandria via LeMat-Bulk describes a geometry-optimized LiZn2Ag structure. The functional is GGA-PBE.

Summary:
space group = Cm
energy = -1.8906 eV per atom
formation energy = -62 meV/atom

Unit cell a=2.887 b=2.887 c=9.250 alpha=79.42 beta=79.42 gamma=57.78
Element x y z (fractional)
Zn: 0.262 0.262 0.244
Zn: 0.074 0.074 0.756
Li: 0.667 0.667 0.999
Ag: 0.497 0.497 0.501

=====

Entry 8:
This record from Alexandria via LeMat-Bulk describes a geometry-optimized Cd2InPt5 structure. The functional is GGA-PBE.

Summary:
space group = I4/mmm
energy = -4.6620 eV per atom
formation energy = -315 meV/atom

Unit cell a=4.170 b=4.170 c=8.406 alpha=104.36 beta=104.36 gamma=90.00
Element x y z (fractional)
Pt: 0.123 0.623 0.246
Pt: 0.500 0.500 0.000
Pt: 0.877 0.377 0.754
Cd: 0.251 0.251 0.501
Cd: 0.749 0.749 0.499
Pt: 0.623 0.123 0.246
In: 0.000 0.000 0.000
Pt: 0.377 0.877 0.754